Record 1
## CsCdHCl2 (PBE)

Data for a relaxed CsCdHCl2 crystal.

## Properties
Total DFT energy (no corrections), eV/atom: -2.79

Cell lengths 5.6813, 5.6813, 3.9347 Å; angles 90.00, 90.00, 90.00 degrees
Fractional coordinates of all 5 atoms:
H1 0.0000 0.0000 0.5000
Cs1 0.5000 0.5000 0.5000
Cl1 0.5000 0.0000 0.0000
Cl2 0.0000 0.5000 0.0000
Cd1 0.0000 0.0000 0.0000

=====

Record 2
## Cs2CdHCl6 (PBE)

Data for a relaxed Cs2CdHCl6 crystal.

## Properties
N(E_F), states/eV/atom: 0.2827
Total DFT energy (no corrections), eV/atom: -2.66

Cell lengths 6.9555, 6.9555, 7.7903 Å; angles 63.49, 63.49, 90.00 degrees
Fractional coordinates of all 10 atoms:
Cl1 0.2054 0.2054 0.5892
Cl2 0.2862 0.7138 0.0000
Cl3 0.2862 0.2862 0.0000
Cl4 0.7138 0.2862 0.0000
Cl5 0.7946 0.7946 0.4108
Cl6 0.7138 0.7138 0.0000
Cd1 0.0000 0.0000 0.0000
Cs1 0.7500 0.2500 0.5000
Cs2 0.2500 0.7500 0.5000
H1 0.5000 0.5000 0.0000

=====

Record 3
## Cs2CdH2Cl2 (PBE)

Data for a relaxed Cs2CdH2Cl2 crystal.

## Properties
Total DFT energy (no corrections), eV/atom: -2.72

Cell lengths 4.6653, 4.6653, 9.2859 Å; angles 104.55, 104.55, 90.00 degrees
Fractional coordinates of all 7 atoms:
Cs1 0.3670 0.3670 0.7340
Cs2 0.6330 0.6330 0.2660
H1 0.5000 0.0000 0.0000
H2 0.0000 0.5000 0.0000
Cd1 0.0000 0.0000 0.0000
Cl1 0.8423 0.8423 0.6845
Cl2 0.1577 0.1577 0.3155